Computed, not measured: crystalline HfCdCl3 at its relaxed geometry at the GGA-PBE level of DFT.

POSCAR file:
```
HfCdCl3
1.0
5.208 0.000 0.000
0.000 5.208 0.000
0.000 0.000 5.208
Cl Hf Cd
3 1 1
Direct
0.000 0.500 0.000
0.000 0.000 0.500
0.500 0.000 0.000
0.500 0.500 0.500
0.000 0.000 0.000
```

The value obtained for the formation energy without anion corrections is 0.41 eV/f.u. As for the distance to the lowest polymorph of the same formula: 1058 meV/atom.



Computed, not measured: crystalline HfCdHgCl2 at its relaxed geometry at the GGA-PBE level of DFT.

POSCAR file:
```
HfCdHgCl2
1.0
-4.215 -2.245 1.205
2.956 -5.018 0.990
0.648 1.309 4.704
Cl Hf Hg Cd
2 1 1 1
Direct
0.000 0.000 0.500
0.500 0.000 0.000
0.000 0.000 0.000
0.000 0.500 0.000
0.500 0.500 0.500
```

The value obtained for the formation energy without anion corrections is -2.77 eV/f.u.



Computed, not measured: crystalline HfCdInCl6 at its relaxed geometry at the GGA-PBE level of DFT.

POSCAR file:
```
HfCdInCl6
1.0
7.214 0.000 0.000
3.607 6.248 0.000
0.000 0.000 6.540
Hf Cd In Cl
1 1 1 6
Direct
0.333 0.333 0.500
0.667 0.667 0.500
0.000 0.000 0.000
0.045 0.346 0.284
0.346 0.046 0.716
0.608 0.346 0.716
0.045 0.608 0.716
0.346 0.608 0.284
0.608 0.045 0.284
```

The value obtained for the formation energy without anion corrections is -11.74 eV/f.u.



Computed, not measured: crystalline LiHfCd2Cl at its relaxed geometry at the GGA-PBE level of DFT.

POSCAR file:
```
LiHfCd2Cl
1.0
4.717 0.000 0.000
0.000 5.112 0.000
0.000 0.000 4.717
Cl Hf Li Cd
1 1 1 2
Direct
0.500 0.500 0.500
0.000 0.500 0.000
0.000 0.000 0.000
0.000 0.000 0.500
0.500 0.000 0.000
```

The value obtained for the formation energy without anion corrections is 2.10 eV/f.u.



Computed, not measured: crystalline HfCdClO2 at its relaxed geometry at the GGA-PBE level of DFT.

POSCAR file:
```
HfCdClO2
1.0
4.321 0.000 0.000
0.000 4.680 0.000
0.000 0.000 4.321
Cl Hf O Cd
1 1 2 1
Direct
0.000 0.000 0.000
0.000 0.500 0.000
0.000 0.000 0.500
0.500 0.000 0.000
0.500 0.500 0.500
```

The value obtained for the formation energy without anion corrections is 2.55 eV/f.u.



Computed, not measured: crystalline HfCdP2Cl at its relaxed geometry at the GGA-PBE level of DFT.

POSCAR file:
```
HfCdP2Cl
1.0
5.057 0.000 0.000
0.000 5.057 0.000
0.000 0.000 4.898
P Cl Hf Cd
2 1 1 1
Direct
0.000 0.500 0.000
0.500 0.000 0.000
0.000 0.000 0.500
0.000 0.000 0.000
0.500 0.500 0.500
```

The value obtained for the formation energy without anion corrections is -0.85 eV/f.u. As for the distance to the lowest polymorph of the same formula: 0 meV/atom.



Listing volume for the structures above in their given order: 141.3, 143.3, 294.8, 113.8, 87.4, 125.3 Å³/f.u..
Listing E_tot for the structures above in their given order: -16.00, -17.63, -36.43, -13.44, -20.08, -24.38 eV per cell.